Entry from the Alexandria database: crystalline CuIF3 at its relaxed geometry (PBE).

Values from the calculation:
Raw formation energy, eV/atom: -1.15
Energy above the lowest structure with this stoichiometry, eV per atom: 0.0000

a b c (Å): 4.7724 5.3569 7.5015
angles (deg): 104.55 92.47 92.13
Space group P1 (No. 1)
One atom of each set of equivalent atoms:
Cu 0.0000 0.0000 0.0000 [1 per cell]
Cu 0.4940 0.4942 0.9798 [1 per cell]
I 0.1989 0.9146 0.5839 [1 per cell]
I 0.8027 0.5342 0.4036 [1 per cell]
F 0.2294 0.7514 0.0702 [1 per cell]
F 0.2906 0.2634 0.0910 [1 per cell]
F 0.3036 0.3044 0.6860 [1 per cell]
F 0.7148 0.7390 0.8944 [1 per cell]
F 0.7785 0.2459 0.9177 [1 per cell]
F 0.8192 0.1462 0.3045 [1 per cell]

=====

Entry from the Alexandria database: crystalline HfTi2NbH at its relaxed geometry (PBE).

Values from the calculation:
Energy above the lowest structure with this stoichiometry, eV per atom: 0.0000

a b c (Å): 4.0452 4.0452 4.6676
angles (deg): 90.00 90.00 90.00
Space group P4/mmm (No. 123)
One atom of each set of equivalent atoms:
Hf 0.0000 0.0000 0.0000 [1 per cell]
Ti 0.0000 0.5000 0.5000 [2 per cell]
Nb 0.5000 0.5000 0.0000 [1 per cell]
H 0.0000 0.0000 0.5000 [1 per cell]

=====

Entry from the Alexandria database: crystalline Na3Ga9Pd2 at its relaxed geometry (PBE).

Values from the calculation:
ΔE_f, eV/f.u.: -3.9

a b c (Å): 4.3274 9.7312 12.7448
angles (deg): 90.00 90.00 90.00
Space group Immm (No. 71)
One atom of each set of equivalent atoms:
Na 0.0000 0.0000 0.0000 [2 per cell]
Na 0.0000 0.0000 0.3170 [4 per cell]
Ga 0.0000 0.2817 0.1227 [8 per cell]
Ga 0.0000 0.3611 0.3238 [8 per cell]
Ga 0.0000 0.5000 0.0000 [2 per cell]
Pd 0.0000 0.2261 0.5000 [4 per cell]

=====

Entry from the Alexandria database: crystalline RbBa2GaTe4 at its relaxed geometry (PBE).

Values from the calculation:
Raw formation energy, eV/atom: -0.95

a b c (Å): 14.0008 13.7379 9.7673
angles (deg): 90.00 134.17 90.00
Space group C2/c (No. 15)
One atom of each set of equivalent atoms:
Rb 0.0000 0.0000 0.0000 [4 per cell]
Ba 0.0000 0.5000 0.0000 [4 per cell]
Ba 0.2500 0.2500 0.0000 [4 per cell]
Ga 0.2500 0.2500 0.5000 [4 per cell]
Te 0.0005 0.2537 0.5049 [8 per cell]
Te 0.2440 0.4404 0.4939 [8 per cell]

=====

Entry from the Alexandria database: crystalline BaGaPd3 at its relaxed geometry (PBE).

Values from the calculation:
ΔE_f, eV/f.u.: -2.0
Energy above the lowest structure with this stoichiometry, eV per atom: 0.1628

a b c (Å): 4.8629 4.8629 4.8629
angles (deg): 90.00 90.00 90.00
Space group Pm-3m (No. 221)
One atom of each set of equivalent atoms:
Ba 0.0000 0.0000 0.0000 [1 per cell]
Ga 0.5000 0.5000 0.5000 [1 per cell]
Pd 0.0000 0.5000 0.5000 [3 per cell]

=====

Entry from the Alexandria database: crystalline CaMg8Cu4 at its relaxed geometry (PBE).

Values from the calculation:
ΔE_f, eV/f.u.: 0.7
Energy above the lowest structure with this stoichiometry, eV per atom: 0.1494

a b c (Å): 10.2112 10.2112 5.0590
angles (deg): 90.00 90.00 90.00
Space group I4/m (No. 87)
One atom of each set of equivalent atoms:
Ca 0.0000 0.0000 0.0000 [2 per cell]
Mg 0.0741 0.6222 0.0000 [8 per cell]
Mg 0.1984 0.3025 0.0000 [8 per cell]
Cu 0.0400 0.1741 0.5000 [8 per cell]

=====

Entry from the Alexandria database: crystalline Li3CuI at its relaxed geometry (PBE).

Values from the calculation:
Raw formation energy, eV/atom: -0.11
Energy above the lowest structure with this stoichiometry, eV per atom: 0.0000

a b c (Å): 4.9021 4.9021 4.9021
angles (deg): 90.00 90.00 90.00
Space group Pm-3m (No. 221)
One atom of each set of equivalent atoms:
Li 0.0000 0.0000 0.5000 [3 per cell]
Cu 0.0000 0.0000 0.0000 [1 per cell]
I 0.5000 0.5000 0.5000 [1 per cell]

=====

Entry from the Alexandria database: crystalline AgAs3Pd at its relaxed geometry (PBE).

Values from the calculation:
ΔE_f, eV/f.u.: 3.1
Energy above the lowest structure with this stoichiometry, eV per atom: 0.0000

a b c (Å): 4.9016 4.9016 4.9016
angles (deg): 90.00 90.00 90.00
Space group Pm-3m (No. 221)
One atom of each set of equivalent atoms:
Ag 0.0000 0.0000 0.0000 [1 per cell]
As 0.0000 0.5000 0.5000 [3 per cell]
Pd 0.5000 0.5000 0.5000 [1 per cell]

=====

Entry from the Alexandria database: crystalline Mn2PSe at its relaxed geometry (PBE).

Values from the calculation:
Raw formation energy, eV/atom: 0.04
Energy above the lowest structure with this stoichiometry, eV per atom: 0.3122

a b c (Å): 3.1612 3.1612 22.4176
angles (deg): 90.00 90.00 120.00
Space group R3m (No. 160, hexagonal axes)
One atom of each set of equivalent atoms:
Mn 0.0000 0.0000 0.0000 [3 per cell]
Mn 0.0000 0.0000 0.2443 [3 per cell]
P 0.0000 0.0000 0.7243 [3 per cell]
Se 0.0000 0.0000 0.5095 [3 per cell]

=====

Entry from the Alexandria database: crystalline Cd4H3Se4 at its relaxed geometry (PBE).

a b c (Å): 7.6059 4.1269 16.3880
angles (deg): 90.00 100.46 90.00
Space group Cm (No. 8)
One atom of each set of equivalent atoms:
Cd 0.0000 0.0000 0.0000 [2 per cell]
Cd 0.0044 0.0000 0.8347 [2 per cell]
Cd 0.0580 0.5000 0.4194 [2 per cell]
Cd 0.2418 0.5000 0.1925 [2 per cell]
H 0.0875 0.5000 0.6692 [2 per cell]
H 0.2254 0.0000 0.5562 [2 per cell]
H 0.4896 0.5000 0.2686 [2 per cell]
Se 0.0267 0.0000 0.5317 [2 per cell]
Se 0.1472 0.5000 0.7615 [2 per cell]
Se 0.1932 0.0000 0.3187 [2 per cell]
Se 0.4045 0.0000 0.1024 [2 per cell]

=====

Entry from the Alexandria database: crystalline KBe2Ag at its relaxed geometry (PBE).

Values from the calculation:
ΔE_f, eV/f.u.: 4.3
Energy above the lowest structure with this stoichiometry, eV per atom: 0.8001

a b c (Å): 6.7857 6.7857 6.7857
angles (deg): 90.00 90.00 90.00
Space group F-43m (No. 216)
One atom of each set of equivalent atoms:
K 0.0000 0.0000 0.0000 [4 per cell]
Be 0.0000 0.0000 0.5000 [4 per cell]
Be 0.2500 0.2500 0.7500 [4 per cell]
Ag 0.2500 0.2500 0.2500 [4 per cell]

=====

Entry from the Alexandria database: crystalline Ac12Hg6Pt at its relaxed geometry (PBE).

Values from the calculation:
ΔE_f, eV/f.u.: -6.0

a b c (Å): 13.1461 13.1461 14.6937
angles (deg): 90.00 90.00 120.00
Space group R-3 (No. 148, hexagonal axes)
One atom of each set of equivalent atoms:
Ac 0.0313 0.8357 0.3801 [18 per cell]
Ac 0.0363 0.1929 0.8892 [18 per cell]
Hg 0.0075 0.3986 0.7563 [18 per cell]
Pt 0.0000 0.0000 0.5000 [3 per cell]

=====

In order of appearance, uncorrected energy = -34.00; -39.40; -90.93; -112.08; -22.50; -60.87; -11.95; -18.86; -81.19; -58.40; -28.56; -189.55 eV/cell.